No. 1
This record from Alexandria describes crystalline BaPtPb3Au at its relaxed geometry. The functional is PBE-GGA.

* calculated total energy: -3.93 eV per atom
* volume: 207 Å³/f.u.
* magnetization: 0.00 Bohr magnetons per cell
* space group: Cmcm, No. 63

The structure in POSCAR format:
```
BaPtPb3Au
1.0
7.261 0.000 0.000
0.000 7.193 0.000
0.000 -3.597 7.932
Ba Pt Pb Au
2 2 6 2
direct
0.750 0.197 0.394 Ba
0.250 0.803 0.606 Ba
0.250 0.067 0.134 Pt
0.750 0.933 0.866 Pt
0.250 0.232 0.465 Pb
0.000 0.256 0.000 Pb
0.500 0.744 0.000 Pb
0.500 0.256 0.000 Pb
0.000 0.744 0.000 Pb
0.750 0.768 0.535 Pb
0.250 0.404 0.809 Au
0.750 0.596 0.191 Au
```

No. 2
This record from Alexandria describes crystalline LiH3Pd at its relaxed geometry. The functional is PBE-GGA.

* calculated total energy: -3.65 eV per atom
* volume: 40 Å³/f.u.
* magnetization: 0.00 Bohr magnetons per cell
* space group: Pmmn, No. 59

The structure in POSCAR format:
```
LiH3Pd
1.0
3.106 0.000 0.473
0.000 4.545 0.000
-0.835 0.000 5.480
H Pd Li
6 2 2
direct
0.750 0.988 0.143 H
0.250 0.012 0.857 H
0.750 0.512 0.143 H
0.250 0.488 0.857 H
0.750 0.250 0.574 H
0.250 0.750 0.426 H
0.750 0.250 0.891 Pd
0.250 0.750 0.109 Pd
0.250 0.250 0.396 Li
0.750 0.750 0.604 Li
```

No. 3
This record from Alexandria describes crystalline CdNi3 at its relaxed geometry. The functional is PBE-GGA.

* calculated total energy: -4.41 eV per atom
* volume: 52 Å³/f.u.
* magnetization: 3.67 Bohr magnetons per cell
* space group: Pnma, No. 62

The structure in POSCAR format:
```
CdNi3
1.0
4.696 0.000 0.000
0.000 8.509 0.000
0.000 0.000 5.249
Ni Cd
12 4
direct
0.924 0.250 0.877 Ni
0.282 0.992 0.360 Ni
0.282 0.508 0.360 Ni
0.218 0.492 0.860 Ni
0.218 0.008 0.860 Ni
0.576 0.750 0.377 Ni
0.424 0.250 0.623 Ni
0.782 0.992 0.140 Ni
0.782 0.508 0.140 Ni
0.718 0.492 0.640 Ni
0.718 0.008 0.640 Ni
0.076 0.750 0.123 Ni
0.061 0.750 0.607 Cd
0.439 0.250 0.107 Cd
0.561 0.750 0.893 Cd
0.939 0.250 0.393 Cd
```

No. 4
This record from Alexandria describes crystalline LiAl4Zn at its relaxed geometry. The functional is PBE-GGA.

* volume: 97 Å³/f.u.
* magnetization: 0.00 Bohr magnetons per cell
* space group: Cmc2_1, No. 36
* polymorph energy (0 for the lowest one): 0.0000 eV/atom

The structure in POSCAR format:
```
LiAl4Zn
1.0
-2.205 0.362 -3.224
-3.681 -2.248 4.652
-1.929 7.669 2.181
Li Al Zn
2 8 2
direct
0.333 0.665 0.304 Li
0.667 0.335 0.804 Li
0.000 0.999 0.803 Al
0.000 0.001 0.303 Al
0.502 0.003 0.054 Al
0.498 0.997 0.554 Al
0.168 0.336 0.556 Al
0.832 0.664 0.056 Al
0.333 0.666 0.802 Al
0.667 0.334 0.302 Al
0.169 0.337 0.048 Zn
0.831 0.663 0.548 Zn
```

No. 5
This record from Alexandria describes crystalline CeDy14Tm at its relaxed geometry. The functional is PBE-GGA.

* calculated total energy: -4.65 eV per atom
* volume: 501 Å³/f.u.
* magnetization: 0.85 Bohr magnetons per cell
* space group: P4/mmm, No. 123

The structure in POSCAR format:
```
CeDy14Tm
1.0
7.012 0.941 0.000
-0.941 7.012 0.000
0.000 0.000 10.005
Ce Dy Tm
1 14 1
direct
0.875 0.125 0.000 Ce
0.375 0.625 0.500 Dy
0.875 0.125 0.500 Dy
0.875 0.625 0.000 Dy
0.875 0.625 0.500 Dy
0.375 0.125 0.000 Dy
0.375 0.125 0.500 Dy
0.626 0.876 0.751 Dy
0.626 0.876 0.249 Dy
0.124 0.374 0.751 Dy
0.124 0.374 0.249 Dy
0.124 0.876 0.751 Dy
0.124 0.876 0.249 Dy
0.626 0.374 0.751 Dy
0.626 0.374 0.249 Dy
0.375 0.625 0.000 Tm
```

No. 6
This record from Alexandria describes crystalline RbInSe at its relaxed geometry. The functional is PBE-GGA.

* volume: 108 Å³/f.u.
* magnetization: 0.00 Bohr magnetons per cell
* space group: P-1, No. 2
* polymorph energy (0 for the lowest one): 0.0504 eV/atom
* energy relative to the elements, uncorrected: -0.67 eV/atom

The structure in POSCAR format:
```
RbInSe
1.0
-0.905 -2.119 -3.739
5.741 0.020 -1.458
2.315 -7.243 3.671
Se In Rb
2 2 2
direct
0.414 0.153 0.760 Se
0.923 0.852 0.236 Se
0.421 0.738 0.024 In
0.915 0.268 0.972 In
0.918 0.735 0.652 Rb
0.420 0.270 0.344 Rb
```

No. 7
This record from Alexandria describes crystalline Cs2ZnGaHg at its relaxed geometry. The functional is PBE-GGA.

* calculated total energy: -1.22 eV per atom
* volume: 247 Å³/f.u.
* magnetization: 0.00 Bohr magnetons per cell
* space group: P4/mmm, No. 123

The structure in POSCAR format:
```
Cs2ZnGaHg
1.0
7.233 0.000 0.000
0.000 7.233 0.000
0.000 0.000 4.717
Cs Zn Hg Ga
2 1 1 1
direct
0.000 0.500 0.000 Cs
0.500 0.000 0.000 Cs
0.000 0.000 0.000 Zn
0.500 0.500 0.500 Hg
0.000 0.000 0.500 Ga
```

No. 8
This record from Alexandria describes crystalline CaTbTm2 at its relaxed geometry. The functional is PBE-GGA.

* volume: 130 Å³/f.u.
* magnetization: 0.00 Bohr magnetons per cell
* space group: P4/mmm, No. 123
* polymorph energy (0 for the lowest one): 0.0763 eV/atom

The structure in POSCAR format:
```
CaTbTm2
1.0
5.090 0.000 0.000
0.000 5.050 0.000
0.000 0.000 5.050
Ca Tm Tb
1 2 1
direct
0.500 0.000 0.000 Ca
0.000 0.000 0.500 Tm
0.000 0.500 0.000 Tm
0.500 0.500 0.500 Tb
```

No. 9
This record from Alexandria describes crystalline PmSmAs2 at its relaxed geometry. The functional is PBE-GGA.

* volume: 96 Å³/f.u.
* magnetization: 0.00 Bohr magnetons per cell
* space group: P4/mmm, No. 123
* polymorph energy (0 for the lowest one): 0.4549 eV/atom

The structure in POSCAR format:
```
PmSmAs2
1.0
-1.350 -0.800 2.843
1.091 -5.231 -0.954
4.814 0.559 2.444
As Sm Pm
2 1 1
direct
0.000 0.000 0.500 As
0.000 0.500 0.000 As
0.500 0.500 0.500 Sm
0.500 0.000 0.000 Pm
```

No. 10
This record from Alexandria describes crystalline Sc2PdAu6 at its relaxed geometry. The functional is PBE-GGA.

* calculated total energy: -4.74 eV per atom
* volume: 163 Å³/f.u.
* magnetization: 0.00 Bohr magnetons per cell
* space group: C2/m, No. 12

The structure in POSCAR format:
```
Sc2PdAu6
1.0
3.770 0.000 -1.127
-0.699 6.355 -2.336
-0.018 -0.036 6.807
Sc Pd Au
2 1 6
direct
0.941 0.182 0.881 Sc
0.059 0.818 0.119 Sc
0.500 0.500 0.000 Pd
0.397 0.835 0.793 Au
0.603 0.165 0.207 Au
0.723 0.833 0.447 Au
0.162 0.501 0.324 Au
0.277 0.167 0.553 Au
0.838 0.499 0.676 Au
```

No. 11
This record from Alexandria describes crystalline Be2AsRh at its relaxed geometry. The functional is PBE-GGA.

* calculated total energy: -5.00 eV per atom
* volume: 47 Å³/f.u.
* magnetization: 0.00 Bohr magnetons per cell
* space group: I-4m2, No. 119

The structure in POSCAR format:
```
Be2AsRh
1.0
-3.138 2.137 -2.485
-4.115 -1.883 0.334
3.102 1.363 3.018
Be As Rh
2 1 1
direct
0.000 0.000 0.000 Be
0.250 0.750 0.500 Be
0.750 0.250 0.500 As
0.500 0.500 0.000 Rh
```